(1)
Computed, not measured: crystalline ZrAg2Cl6 at its relaxed geometry at the GGA-PBE level of DFT.

The structure in CIF format:
```
data_ZrAg2Cl6
_chemical_formula_sum 'Zr2 Ag4 Cl12'
_cell_length_a 7.027
_cell_length_b 6.636
_cell_length_c 10.777
_cell_angle_alpha 90.00
_cell_angle_beta 86.26
_cell_angle_gamma 90.00
_symmetry_space_group_name_H-M 'P 1'
_symmetry_Int_Tables_number 1
loop_
_symmetry_equiv_pos_as_xyz
'x,y,z'
loop_
_atom_site_label
_atom_site_type_symbol
_atom_site_fract_x
_atom_site_fract_y
_atom_site_fract_z
_atom_site_occupancy
Cl1 Cl 0.635 0.196 0.895 1
Ag1 Ag 0.974 0.499 0.216 1
Cl2 Cl 0.108 0.131 0.705 1
Zr1 Zr 0.000 0.000 0.500 1
Zr2 Zr 0.500 0.500 0.000 1
Ag2 Ag 0.026 0.501 0.784 1
Cl3 Cl 0.312 0.824 0.463 1
Cl4 Cl 0.608 0.369 0.205 1
Cl5 Cl 0.892 0.869 0.295 1
Cl6 Cl 0.188 0.324 0.037 1
Ag3 Ag 0.474 0.001 0.716 1
Cl7 Cl 0.865 0.696 0.605 1
Cl8 Cl 0.135 0.304 0.395 1
Cl9 Cl 0.812 0.676 0.963 1
Cl10 Cl 0.365 0.804 0.105 1
Ag4 Ag 0.526 0.999 0.284 1
Cl11 Cl 0.392 0.631 0.795 1
Cl12 Cl 0.688 0.176 0.537 1
```

***

(2)
Computed, not measured: crystalline ZrAgCl5 at its relaxed geometry at the GGA-PBE level of DFT.

The structure in CIF format:
```
data_ZrAgCl5
_chemical_formula_sum 'Zr2 Ag2 Cl10'
_cell_length_a 6.666
_cell_length_b 7.761
_cell_length_c 9.753
_cell_angle_alpha 106.90
_cell_angle_beta 90.00
_cell_angle_gamma 115.43
_symmetry_space_group_name_H-M 'P 1'
_symmetry_Int_Tables_number 1
loop_
_symmetry_equiv_pos_as_xyz
'x,y,z'
loop_
_atom_site_label
_atom_site_type_symbol
_atom_site_fract_x
_atom_site_fract_y
_atom_site_fract_z
_atom_site_occupancy
Cl1 Cl 0.048 0.705 0.877 1
Cl2 Cl 0.344 0.295 0.623 1
Cl3 Cl 0.952 0.295 0.123 1
Zr1 Zr 0.000 0.000 0.000 1
Cl4 Cl 0.844 0.000 0.750 1
Cl5 Cl 0.156 0.000 0.250 1
Cl6 Cl 0.171 0.777 0.516 1
Cl7 Cl 0.607 0.777 0.016 1
Cl8 Cl 0.393 0.223 0.984 1
Ag1 Ag 0.439 0.000 0.750 1
Cl9 Cl 0.656 0.705 0.377 1
Zr2 Zr 0.000 0.000 0.500 1
Cl10 Cl 0.829 0.223 0.484 1
Ag2 Ag 0.561 0.000 0.250 1
```

***

(3)
# GGA-PBE Zr3AgCl, optimized geometry
# Relative energy among the computed polymorphs, meV/atom: 0
data_Zr3AgCl
_chemical_formula_sum 'Zr3 Ag1 Cl1'
_cell_length_a 4.789
_cell_length_b 4.789
_cell_length_c 4.789
_cell_angle_alpha 90.00
_cell_angle_beta 90.00
_cell_angle_gamma 90.00
_symmetry_space_group_name_H-M 'P 1'
_symmetry_Int_Tables_number 1
loop_
_symmetry_equiv_pos_as_xyz
'x,y,z'
loop_
_atom_site_label
_atom_site_type_symbol
_atom_site_fract_x
_atom_site_fract_y
_atom_site_fract_z
_atom_site_occupancy
Zr1 Zr 0.000 0.000 0.500 1
Zr2 Zr 0.500 0.000 0.000 1
Zr3 Zr 0.000 0.500 0.000 1
Ag1 Ag 0.500 0.500 0.500 1
Cl1 Cl 0.000 0.000 0.000 1

***

(4)
Computed, not measured: crystalline ZrAg3Cl8 at its relaxed geometry at the GGA-PBE level of DFT.

The structure in CIF format:
```
data_ZrAg3Cl8
_chemical_formula_sum 'Zr1 Ag3 Cl8'
_cell_length_a 6.964
_cell_length_b 6.964
_cell_length_c 7.800
_cell_angle_alpha 90.00
_cell_angle_beta 90.00
_cell_angle_gamma 118.11
_symmetry_space_group_name_H-M 'P 1'
_symmetry_Int_Tables_number 1
loop_
_symmetry_equiv_pos_as_xyz
'x,y,z'
loop_
_atom_site_label
_atom_site_type_symbol
_atom_site_fract_x
_atom_site_fract_y
_atom_site_fract_z
_atom_site_occupancy
Ag1 Ag 0.500 0.500 0.000 1
Zr1 Zr 0.500 0.500 0.500 1
Cl1 Cl 0.261 0.240 0.720 1
Ag2 Ag 0.000 0.500 0.234 1
Ag3 Ag 0.500 0.000 0.766 1
Cl2 Cl 0.712 0.288 0.000 1
Cl3 Cl 0.713 0.287 0.500 1
Cl4 Cl 0.287 0.713 0.500 1
Cl5 Cl 0.288 0.712 0.000 1
Cl6 Cl 0.240 0.261 0.280 1
Cl7 Cl 0.760 0.739 0.280 1
Cl8 Cl 0.739 0.760 0.720 1
```

***

(5)
# GGA-PBE ZrAgCl6, optimized geometry
# Relative energy among the computed polymorphs, meV/atom: 0
data_ZrAgCl6
_chemical_formula_sum 'Zr1 Ag1 Cl6'
_cell_length_a 6.668
_cell_length_b 6.654
_cell_length_c 6.879
_cell_angle_alpha 61.08
_cell_angle_beta 78.72
_cell_angle_gamma 66.14
_symmetry_space_group_name_H-M 'P 1'
_symmetry_Int_Tables_number 1
loop_
_symmetry_equiv_pos_as_xyz
'x,y,z'
loop_
_atom_site_label
_atom_site_type_symbol
_atom_site_fract_x
_atom_site_fract_y
_atom_site_fract_z
_atom_site_occupancy
Cl1 Cl 0.253 0.891 0.709 1
Ag1 Ag 0.500 0.500 0.000 1
Cl2 Cl 0.783 0.784 0.000 1
Zr1 Zr 0.000 0.000 0.000 1
Cl3 Cl 0.253 0.600 0.291 1
Cl4 Cl 0.747 0.109 0.291 1
Cl5 Cl 0.217 0.216 0.000 1
Cl6 Cl 0.747 0.400 0.709 1

***

(6)
# GGA-PBE Zr3AgCl, optimized geometry
# Relative energy among the computed polymorphs, meV/atom: 864
data_Zr3AgCl
_chemical_formula_sum 'Zr3 Ag1 Cl1'
_cell_length_a 5.237
_cell_length_b 5.237
_cell_length_c 5.237
_cell_angle_alpha 90.00
_cell_angle_beta 90.00
_cell_angle_gamma 90.00
_symmetry_space_group_name_H-M 'P 1'
_symmetry_Int_Tables_number 1
loop_
_symmetry_equiv_pos_as_xyz
'x,y,z'
loop_
_atom_site_label
_atom_site_type_symbol
_atom_site_fract_x
_atom_site_fract_y
_atom_site_fract_z
_atom_site_occupancy
Zr1 Zr 0.500 0.000 0.000 1
Zr2 Zr 0.000 0.000 0.500 1
Zr3 Zr 0.000 0.500 0.000 1
Cl1 Cl 0.500 0.500 0.500 1
Ag1 Ag 0.000 0.000 0.000 1

***

For reference, total energy by record: -3.996; -4.285; -5.999; -3.618; -4.006; -5.136 eV per atom.
For reference, energy relative to the elements, uncorrected by record: -10.63; -9.36; 0.34; -11.54; -9.57; 4.66 eV per formula unit.